Entry 1:
VASP calculation (GGA-PBEsol) on a geometry-optimized Gd2In structure.

Its volume is 27.44 A^3/atom. For the formation energy, the calculation gives -0.423 eV per atom. As for the total energy: -11.049 eV per atom. The crystal system is hexagonal.

The space group is P6_3/mmc (No. 194) and the conventional cell measures 5.3487, 5.3487 and 6.6441 Å, with angles of 90.00, 90.00 and 120.00 degrees. Symmetry generates all atoms from Gd at (0.0000, 0.0000, 0.0000), Gd at (0.3333, 0.6667, 0.2500) and In at (0.3333, 0.6667, 0.7500).


Entry 2:
VASP calculation (GGA-PBEsol) on a geometry-optimized LiGdIn2 structure.

Its volume is 23.08 A^3/atom. For the formation energy, the calculation gives -0.435 eV per atom. As for the total energy: -6.030 eV per atom. The crystal system is cubic.

The space group is Fm-3m (No. 225) and the conventional cell measures 7.175, 7.175 and 7.175 Å, with angles of 90.00, 90.00 and 90.00 degrees. Symmetry generates all atoms from Li at (0.000, 0.000, 0.000), Gd at (0.000, 0.000, 0.500) and In at (0.250, 0.250, 0.250).


Entry 3:
VASP calculation (GGA-PBEsol) on a geometry-optimized Li2GdIn structure.

Its volume is 19.68 A^3/atom. For the formation energy, the calculation gives -0.315 eV per atom. As for the total energy: -5.656 eV per atom. The crystal system is cubic.

The space group is Fm-3m (No. 225) and the conventional cell measures 6.803, 6.803 and 6.803 Å, with angles of 90.00, 90.00 and 90.00 degrees. Symmetry generates all atoms from Li at (0.250, 0.250, 0.250), Gd at (0.000, 0.000, 0.000) and In at (0.000, 0.000, 0.500).


Entry 4:
VASP calculation (GGA-PBEsol) on a geometry-optimized Gd2MgIn structure.

Its volume is 26.12 A^3/atom. For the formation energy, the calculation gives -0.362 eV per atom. As for the total energy: -8.762 eV per atom. The crystal system is cubic.

The space group is Fm-3m (No. 225) and the conventional cell measures 7.477, 7.477 and 7.477 Å, with angles of 90.00, 90.00 and 90.00 degrees. Symmetry generates all atoms from Gd at (0.250, 0.250, 0.250), Mg at (0.000, 0.000, 0.000) and In at (0.000, 0.000, 0.500).


Entry 5:
VASP calculation (GGA-PBEsol) on a geometry-optimized Gd2InNi2 structure.

Its volume is 19.96 A^3/atom. For the formation energy, the calculation gives -0.519 eV per atom. As for the total energy: -9.359 eV per atom. The crystal system is orthorhombic.

The space group is Cmmm (No. 65) and the conventional cell measures 3.897, 14.086 and 3.637 Å, with angles of 90.00, 90.00 and 90.00 degrees. Symmetry generates all atoms from Gd at (0.000, 0.138, 0.000), In at (0.000, 0.500, 0.500) and Ni at (0.000, 0.301, 0.500).


Entry 6:
VASP calculation (GGA-PBEsol) on a geometry-optimized GdInO3 structure.

Its volume is 14.27 A^3/atom. As for the total energy: -9.200 eV per atom. The calculation puts the raw formation energy at -2.564 eV per atom. The crystal system is hexagonal.

The space group is P6_3cm (No. 185) and the conventional cell measures 6.3383, 6.3383 and 12.3079 Å, with angles of 90.00, 90.00 and 120.00 degrees. Symmetry generates all atoms from Gd at (0.0000, 0.0000, 0.0000), Gd at (0.3333, 0.6667, 0.0363), In at (0.0000, 0.3336, 0.2708), O at (0.0000, 0.0000, 0.3013), O at (0.0000, 0.3062, 0.1000), O at (0.0000, 0.3613, 0.4399) and O at (0.3333, 0.6667, 0.2431).


Entry 7:
VASP calculation (GGA-PBEsol) on a geometry-optimized GdIn2Rh structure.

Its volume is 21.17 A^3/atom. For the formation energy, the calculation gives -0.646 eV per atom. As for the total energy: -7.784 eV per atom. The crystal system is orthorhombic.

The space group is Cmcm (No. 63) and the conventional cell measures 4.320, 9.984 and 7.853 Å, with angles of 90.00, 90.00 and 90.00 degrees. Symmetry generates all atoms from Gd at (0.000, 0.068, 0.250), In at (0.000, 0.356, 0.051) and Rh at (0.000, 0.215, 0.750).


Entry 8:
VASP calculation (GGA-PBEsol) on a geometry-optimized GdZnIn structure.

Its volume is 22.03 A^3/atom. For the formation energy, the calculation gives -0.481 eV per atom. As for the total energy: -6.818 eV per atom. The crystal system is hexagonal.

The space group is P6_3/mmc (No. 194) and the conventional cell measures 4.6428, 4.6428 and 7.0819 Å, with angles of 90.00, 90.00 and 120.00 degrees. Symmetry generates all atoms from Gd at (0.0000, 0.0000, 0.0000), Zn at (0.3333, 0.6667, 0.2500) and In at (0.3333, 0.6667, 0.7500).


- Which formula does entry 5 have?
  Gd2InNi2


- Which formula does entry 2 have?
  LiGdIn2